No. 1
A plane-wave DFT calculation with PBE was carried out for crystalline ZnMo3 at its relaxed geometry.

Calculated values
- formation enthalpy at 0 K (eV per atom) = 0.243
- magnetic moment (μB/f.u.) = 0.000
- calculated total energy (eV per formula unit) = -32.80

Lattice parameters (Å, degrees): 2.6250 4.6380 5.1359 90.00 90.00 90.00
Last column: nearest neighbours and their distance in Å.
Space group Pmm2 (No. 25)
Symmetry-distinct sites (fractional):
Zn 0.0000 0.0000 0.0000  2 Zn 2.62, 10 Mo 2.80-2.93
Mo 0.0000 0.5000 0.6958  10 Mo 2.62-2.92, 2 Zn 2.80
Mo 0.5000 0.0000 0.4909  8 Mo 2.62-2.86, 4 Zn 2.84-2.93
Mo 0.5000 0.5000 0.1873  8 Mo 2.62-2.92, 4 Zn 2.83

---

No. 2
A plane-wave DFT calculation with PBE was carried out for crystalline BSb3Br at its relaxed geometry.

Calculated values
- magnetic moment (μB/f.u.) = 0.000
- calculated total energy (eV per formula unit) = -11.51
- raw formation energy (eV/atom) = 1.8418

Lattice parameters (Å, degrees): 5.5182 5.5182 5.5182 90.00 90.00 90.00
Last column: nearest neighbours and their distance in Å.
Space group Pm-3m (No. 221)
Symmetry-distinct sites (fractional):
B 0.0000 0.0000 0.0000  12 Sb 3.90
Sb 0.0000 0.5000 0.5000  2 Br 2.76
Br 0.5000 0.5000 0.5000  6 Sb 2.76

---

No. 3
A plane-wave DFT calculation with PBE was carried out for crystalline AlZnCd2 at its relaxed geometry.

Calculated values
- formation enthalpy at 0 K (eV per atom) = 0.170
- magnetic moment (μB/f.u.) = 0.000
- calculated total energy (eV per formula unit) = -6.17

Lattice parameters (Å, degrees): 6.8776 6.8776 6.8776 90.00 90.00 90.00
Last column: nearest neighbours and their distance in Å.
Space group F-43m (No. 216)
Symmetry-distinct sites (fractional):
Al 0.0000 0.0000 0.0000  4 Cd 2.98, 4 Zn 2.98
Zn 0.2500 0.2500 0.2500  4 Cd 2.98, 4 Al 2.98
Cd 0.0000 0.0000 0.5000  4 Zn 2.98, 4 Cd 2.98
Cd 0.2500 0.2500 0.7500  4 Cd 2.98, 4 Al 2.98